Nd2NpTc2C4, optimized geometry, DFT PBE; energy relative to the elements = 80 meV per atom; space-group type = C2/m; size of the total moment = 2.7 μB per formula unit
1.0
-0.265 -3.458 0.072
6.849 1.224 0.460
-2.330 0.298 5.718
Np Nd C Tc
1 2 4 2
Cartesian
0.000 0.000 0.000
0.557 0.024 3.181
3.697 -1.959 3.070
2.541 -0.164 1.460
1.712 -1.771 4.791
-1.442 -1.536 4.459
5.695 -0.399 1.792
2.269 -1.909 0.228
1.985 -0.026 6.022